No. 1
{"formula": "Rb2SrTc2N4", "functional": "PBE", "state": "optimized geometry", "lattice": [[6.7445, -1.8038, 0.0000], [6.7445, 1.8038, 0.0000], [-6.6828, 0.0000, 7.2766]], "species": ["Rb", "Rb", "Sr", "Tc", "Tc", "N", "N", "N", "N"], "frac_coords": [[0.1500, 0.1500, 0.2484], [0.8500, 0.8500, 0.7516], [0.0000, 0.0000, 0.5000], [0.3420, 0.3420, 0.1274], [0.6580, 0.6580, 0.8726], [0.2225, 0.2225, 0.8473], [0.4796, 0.4796, 0.6758], [0.5204, 0.5204, 0.3242], [0.7775, 0.7775, 0.1527]], "dft_energy_ev_per_atom": -6.641, "raw_formation_energy_ev_per_atom": -0.2357, "dos_at_fermi_per_ev_atom": 0.251}

=====

No. 2
{"formula": "RbSrTeN2", "functional": "PBE", "state": "optimized geometry", "lattice": [[5.2367, 0.0000, 0.0000], [0.0000, 5.2367, 0.0000], [0.0000, 0.0000, 6.5497]], "species": ["Rb", "Sr", "Te", "N", "N"], "frac_coords": [[0.0000, 0.0000, 0.0000], [0.5000, 0.5000, 0.5000], [0.5000, 0.5000, 0.0000], [0.0000, 0.5000, 0.5000], [0.5000, 0.0000, 0.5000]], "dft_energy_ev_per_atom": -3.701, "raw_formation_energy_ev_per_atom": 0.7876, "polymorph_energy_mev_per_atom": 0, "dos_at_fermi_per_ev_atom": 0.782}

=====

No. 3
{"formula": "Rb2SrTeN", "functional": "PBE", "state": "optimized geometry", "lattice": [[6.9716, 0.0000, 0.0000], [0.0000, 6.9716, 0.0000], [0.0000, 0.0000, 4.3294]], "species": ["Rb", "Rb", "Sr", "Te", "N"], "frac_coords": [[0.0000, 0.5000, 0.0000], [0.5000, 0.0000, 0.0000], [0.0000, 0.0000, 0.0000], [0.5000, 0.5000, 0.5000], [0.0000, 0.0000, 0.5000]], "dft_energy_ev_per_atom": -2.868, "raw_formation_energy_ev_per_atom": 0.1485, "dos_at_fermi_per_ev_atom": 0.331}

=====

No. 4
{"formula": "RbSrTeN2", "functional": "PBE", "state": "optimized geometry", "lattice": [[5.1116, 0.0000, 0.0000], [0.0000, 5.1116, 0.0000], [0.0000, 0.0000, 7.0779]], "species": ["Rb", "Sr", "Te", "N", "N"], "frac_coords": [[0.0000, 0.0000, 0.0000], [0.5000, 0.5000, 0.5000], [0.0000, 0.0000, 0.5000], [0.0000, 0.5000, 0.0000], [0.5000, 0.0000, 0.0000]], "dft_energy_ev_per_atom": -3.268, "raw_formation_energy_ev_per_atom": 1.2202, "polymorph_energy_mev_per_atom": 433, "dos_at_fermi_per_ev_atom": 0.405}

=====

No. 5
{"formula": "RbTa3N", "functional": "PBE", "state": "optimized geometry", "lattice": [[4.4623, 0.0000, 0.0000], [0.0000, 4.4623, 0.0000], [0.0000, 0.0000, 4.4623]], "species": ["Rb", "Ta", "Ta", "Ta", "N"], "frac_coords": [[0.0000, 0.0000, 0.0000], [0.0000, 0.5000, 0.5000], [0.5000, 0.0000, 0.5000], [0.5000, 0.5000, 0.0000], [0.5000, 0.5000, 0.5000]], "dft_energy_ev_per_atom": -8.016, "raw_formation_energy_ev_per_atom": 0.9537, "polymorph_energy_mev_per_atom": 0, "dos_at_fermi_per_ev_atom": 1.068}

=====

No. 6
{"formula": "Rb3TaN", "functional": "PBE", "state": "optimized geometry", "lattice": [[5.8359, 0.0000, 0.0000], [0.0000, 5.8359, 0.0000], [0.0000, 0.0000, 5.8359]], "species": ["Rb", "Rb", "Rb", "Ta", "N"], "frac_coords": [[0.0000, 0.0000, 0.5000], [0.0000, 0.5000, 0.0000], [0.5000, 0.0000, 0.0000], [0.5000, 0.5000, 0.5000], [0.0000, 0.0000, 0.0000]], "dft_energy_ev_per_atom": -2.913, "raw_formation_energy_ev_per_atom": 1.7036, "polymorph_energy_mev_per_atom": 0, "dos_at_fermi_per_ev_atom": 3.310}